UB4Rh4: relaxed, PBE-GGA.

Computed properties:
ρ (g cm⁻³): 10.8
Formation energy from the elements (eV/atom): -0.42

CIF file:
```
data_UB4Rh4
_cell_length_a 5.3261
_cell_length_b 5.3261
_cell_length_c 7.5294
_cell_angle_alpha 90.00
_cell_angle_beta 90.00
_cell_angle_gamma 90.00
_symmetry_space_group_name_H-M 'P 42/n m c'
_symmetry_Int_Tables_number 137
loop_
_symmetry_equiv_pos_as_xyz
'x,y,z'
'-x,-y,-z'
'-y+1/2,x,z+1/2'
'y+1/2,-x,-z+1/2'
'-x+1/2,-y+1/2,z'
'x+1/2,y+1/2,-z'
'y,-x+1/2,z+1/2'
'-y,x+1/2,-z+1/2'
'x+1/2,-y,-z'
'-x+1/2,y,z'
'-y,-x,-z+1/2'
'y,x,z+1/2'
'-x,y+1/2,-z'
'x,-y+1/2,z'
'y+1/2,x+1/2,-z+1/2'
'-y+1/2,-x+1/2,z+1/2'
loop_
_atom_site_label
_atom_site_type_symbol
_atom_site_fract_x
_atom_site_fract_y
_atom_site_fract_z
U1 U 0.2500 0.7500 0.2500
B1 B 0.0834 0.2500 0.1045
Rh1 Rh 0.0022 0.2500 0.3991
```